A plane-wave DFT calculation with PBE was carried out for an optimized crystal structure of Ba3SrSb2O6.

Computed properties:
- SG: P-3m1 (164)
- Formation energy (no corrections): -2102 meV per atom

POSCAR file:
```
Ba3SrSb2O6
1.0
6.220 0.000 0.000
-3.110 5.387 0.000
0.000 0.000 7.223
Ba Sr Sb O
3 1 2 6
Direct
0.000 0.000 0.000
0.333 0.667 0.640
0.667 0.333 0.360
0.000 0.000 0.500
0.333 0.667 0.140
0.667 0.333 0.860
0.181 0.362 0.303
0.181 0.819 0.303
0.362 0.181 0.697
0.638 0.819 0.303
0.819 0.181 0.697
0.819 0.638 0.697
```